# UV2PbO9 GGA+U optimized geometry
# * final energy: -410.5 eV for the cell shown
# * SG: P2_1/c (14)
data_UV2PbO9
_chemical_formula_sum 'U4 V8 Pb4 O36'
_cell_length_a 6.984
_cell_length_b 10.642
_cell_length_c 11.570
_cell_angle_alpha 90.00
_cell_angle_beta 92.96
_cell_angle_gamma 90.00
_symmetry_space_group_name_H-M 'P 1'
_symmetry_Int_Tables_number 1
_symmetry_space_group_name_Hall 'P 1'
loop_
_atom_site_label
_atom_site_type_symbol
_atom_site_fract_x
_atom_site_fract_y
_atom_site_fract_z
_atom_site_occupancy
O1 O 0.934 0.389 0.117 1
O2 O 0.587 0.649 0.945 1
O3 O 0.131 0.005 0.733 1
O4 O 0.963 0.603 0.366 1
O5 O 0.873 0.856 0.971 1
O6 O 0.087 0.851 0.445 1
O7 O 0.270 0.387 0.284 1
O8 O 0.770 0.113 0.784 1
O9 O 0.566 0.889 0.383 1
O10 O 0.369 0.505 0.767 1
O11 O 0.242 0.079 0.353 1
O12 O 0.627 0.356 0.529 1
O13 O 0.077 0.664 0.628 1
O14 O 0.758 0.921 0.647 1
O15 O 0.399 0.830 0.624 1
O16 O 0.373 0.644 0.471 1
O17 O 0.742 0.421 0.853 1
O18 O 0.230 0.887 0.216 1
O19 O 0.913 0.149 0.555 1
O20 O 0.899 0.670 0.124 1
O21 O 0.127 0.144 0.029 1
O22 O 0.577 0.836 0.128 1
O23 O 0.258 0.579 0.147 1
O24 O 0.066 0.611 0.883 1
O25 O 0.423 0.164 0.872 1
O26 O 0.631 0.495 0.233 1
O27 O 0.463 0.897 0.866 1
O28 O 0.413 0.351 0.055 1
O29 O 0.101 0.330 0.876 1
O30 O 0.434 0.111 0.617 1
O31 O 0.601 0.170 0.376 1
O32 O 0.869 0.995 0.267 1
O33 O 0.923 0.336 0.372 1
O34 O 0.037 0.397 0.634 1
O35 O 0.537 0.103 0.134 1
O36 O 0.730 0.613 0.716 1
V1 V 0.096 0.953 0.321 1
V2 V 0.596 0.547 0.821 1
V3 V 0.404 0.453 0.179 1
V4 V 0.904 0.047 0.679 1
V5 V 0.232 0.743 0.539 1
V6 V 0.268 0.243 0.961 1
V7 V 0.768 0.257 0.461 1
V8 V 0.732 0.757 0.039 1
U1 U 0.953 0.496 0.242 1
U2 U 0.453 0.004 0.742 1
U3 U 0.547 0.996 0.258 1
U4 U 0.047 0.504 0.758 1
Pb1 Pb 0.203 0.772 0.031 1
Pb2 Pb 0.703 0.728 0.531 1
Pb3 Pb 0.797 0.228 0.969 1
Pb4 Pb 0.297 0.272 0.469 1